Version 1
Material: Li3Co4SnO8
Method: DFT, GGA+U
State: relaxed

Calculated values
M_tot   0.686 μB/atom
D(E_F)   0.324 states/eV/atom

The structure in POSCAR format:
```
Li3Co4SnO8
1.0
-4.128 3.282 -2.888
-5.731 -0.173 1.809
-2.464 4.853 2.728
O Li Co Sn
8 3 4 1
Direct
0.253 0.741 0.760
0.751 0.751 0.267
0.255 0.255 0.261
0.745 0.745 0.739
0.259 0.747 0.240
0.747 0.259 0.240
0.249 0.249 0.733
0.741 0.253 0.760
0.000 0.000 0.500
0.000 0.500 0.000
0.500 0.000 0.000
0.500 0.000 0.500
0.000 0.000 0.000
0.000 0.500 0.500
0.500 0.500 0.500
0.500 0.500 0.000
```

---

Version 2
Material: Li3Co4SnO8
Method: DFT, GGA+U
State: relaxed

Calculated values
M_tot   0.001 μB/atom

The structure in POSCAR format:
```
Li3Co4SnO8
1.0
-5.502 -2.341 0.569
-0.601 -5.763 1.611
-2.238 0.235 10.189
Sn Li O Co
2 6 16 8
Direct
0.504 0.499 0.001
0.996 0.001 0.499
0.491 0.001 0.006
0.750 0.750 0.250
0.008 0.504 0.991
0.009 0.499 0.494
0.250 0.250 0.750
0.492 0.996 0.509
0.110 0.122 0.629
0.631 0.121 0.623
0.380 0.862 0.879
0.623 0.136 0.119
0.869 0.379 0.877
0.592 0.628 0.639
0.599 0.630 0.133
0.390 0.378 0.871
0.129 0.096 0.139
0.908 0.872 0.861
0.361 0.870 0.370
0.120 0.638 0.621
0.901 0.870 0.367
0.371 0.404 0.361
0.139 0.630 0.130
0.877 0.364 0.381
0.250 0.250 0.250
0.750 0.750 0.750
0.750 0.250 0.750
0.002 0.001 0.003
0.250 0.750 0.250
0.498 0.499 0.497
0.250 0.750 0.750
0.750 0.250 0.250
```

---

Relative calculated energies, zero for the most stable structure, unit meV per atom: version 1 0; version 2 7.

---

Version 1
Material: Li2Ti3CoO8
Method: DFT, GGA+U
State: relaxed

Calculated values
M_tot   0.216 μB/atom
D(E_F)   0.000 states/eV/atom

The structure in POSCAR format:
```
Li2Ti3CoO8
1.0
5.954 -0.001 0.002
-2.978 5.155 0.000
-0.002 0.000 9.818
Ti O Li Co
6 16 4 2
Direct
0.786 0.124 0.715
0.874 0.662 0.715
0.213 0.876 0.215
0.663 0.788 0.215
0.337 0.212 0.715
0.126 0.338 0.215
0.487 0.971 0.331
0.001 0.000 0.311
0.512 0.029 0.831
0.680 0.839 0.603
0.320 0.161 0.103
0.666 0.333 0.609
0.970 0.483 0.831
0.841 0.681 0.103
0.840 0.159 0.103
0.334 0.667 0.109
0.160 0.841 0.603
0.484 0.514 0.331
0.159 0.319 0.603
0.516 0.486 0.831
0.030 0.517 0.331
0.999 0.000 0.811
0.667 0.334 0.400
0.333 0.666 0.900
0.999 0.999 0.496
0.001 0.001 0.996
0.667 0.334 0.992
0.333 0.667 0.492
```

---

Version 2
Material: Li2Ti3CoO8
Method: DFT, GGA+U
State: relaxed

Calculated values
M_tot   0.214 μB/atom
D(E_F)   0.000 states/eV/atom

The structure in POSCAR format:
```
Li2Ti3CoO8
1.0
-6.604 4.667 2.447
-0.304 -4.254 7.293
5.261 5.613 3.493
O Ti Co Li
32 12 4 8
Direct
0.893 0.372 0.390
0.628 0.890 0.607
0.141 0.377 0.145
0.139 0.639 0.861
0.377 0.145 0.141
0.855 0.641 0.123
0.355 0.859 0.877
0.639 0.861 0.139
0.110 0.107 0.872
0.645 0.359 0.623
0.390 0.893 0.372
0.359 0.623 0.645
0.388 0.612 0.112
0.128 0.610 0.393
0.641 0.123 0.855
0.123 0.855 0.641
0.872 0.110 0.107
0.888 0.888 0.888
0.623 0.645 0.359
0.877 0.355 0.859
0.112 0.388 0.612
0.859 0.877 0.355
0.610 0.393 0.128
0.107 0.872 0.110
0.612 0.112 0.388
0.372 0.390 0.893
0.361 0.361 0.361
0.861 0.139 0.639
0.607 0.628 0.890
0.393 0.128 0.610
0.145 0.141 0.377
0.890 0.607 0.628
0.879 0.873 0.134
0.627 0.866 0.379
0.866 0.379 0.627
0.621 0.127 0.634
0.379 0.627 0.866
0.127 0.634 0.621
0.373 0.366 0.121
0.134 0.879 0.873
0.873 0.134 0.879
0.634 0.621 0.127
0.121 0.373 0.366
0.366 0.121 0.373
0.752 0.752 0.752
0.748 0.248 0.252
0.248 0.252 0.748
0.252 0.748 0.248
0.997 0.003 0.503
0.003 0.503 0.997
0.503 0.997 0.003
0.124 0.124 0.124
0.624 0.376 0.876
0.497 0.497 0.497
0.876 0.624 0.376
0.376 0.876 0.624
```

---

Relative calculated energies, zero for the most stable structure, unit meV per atom: version 1 46; version 2 0.

---

Version 1
Material: Li2Ti3CoO8
Method: DFT, GGA+U
State: relaxed

Calculated values
M_tot   0.215 μB/atom
D(E_F)   0.000 states/eV/atom

The structure in POSCAR format:
```
Li2Ti3CoO8
1.0
-3.994 -1.553 -4.134
1.781 -2.919 -4.874
-1.446 -5.734 -0.699
Ti O Co Li
3 8 1 2
Direct
0.502 0.993 0.502
0.502 0.502 0.993
0.993 0.502 0.502
0.253 0.713 0.253
0.749 0.291 0.749
0.749 0.749 0.291
0.713 0.253 0.253
0.258 0.258 0.258
0.741 0.741 0.741
0.253 0.253 0.713
0.291 0.749 0.749
0.117 0.117 0.117
0.882 0.882 0.882
0.499 0.499 0.499
```

---

Version 2
Material: Li2Ti3CoO8
Method: DFT, GGA+U
State: relaxed

Calculated values
M_tot   0.214 μB/atom
D(E_F)   0.278 states/eV/atom

The structure in POSCAR format:
```
Li2Ti3CoO8
1.0
5.967 0.038 0.027
2.937 5.194 0.027
2.937 1.726 4.899
Ti O Li Co
3 8 2 1
Direct
0.500 0.500 0.000
0.500 0.000 0.500
0.000 0.500 0.500
0.746 0.289 0.746
0.254 0.711 0.254
0.746 0.746 0.289
0.739 0.739 0.739
0.261 0.261 0.261
0.254 0.254 0.711
0.711 0.254 0.254
0.289 0.746 0.746
0.121 0.121 0.121
0.879 0.879 0.879
0.500 0.500 0.500
```

---

Relative calculated energies, zero for the most stable structure, unit meV per atom: version 1 0; version 2 40.